Entry 1:
A geometry-optimized La2MnCr structure, computed with GGA-PBE.

* calculated formation energy: 635 meV/atom

Unit cell a=3.5742 b=3.5742 c=28.1423 alpha=90.00 beta=90.00 gamma=120.00
Fractional coordinates of all 12 atoms:
La 0.0000 0.0000 0.2493
La 0.0000 0.0000 0.7507
La 0.3333 0.6667 0.4174
La 0.3333 0.6667 0.9160
La 0.6667 0.3333 0.0840
La 0.6667 0.3333 0.5826
Mn 0.0000 0.0000 0.0000
Mn 0.3333 0.6667 0.6667
Mn 0.6667 0.3333 0.3333
Cr 0.0000 0.0000 0.5000
Cr 0.3333 0.6667 0.1667
Cr 0.6667 0.3333 0.8333



Entry 2:
A geometry-optimized LaMn2Cr structure, computed with GGA-PBE.

* calculated formation energy: 252 meV/atom

Unit cell a=4.0854 b=4.0854 c=16.2031 alpha=90.00 beta=90.00 gamma=120.00
Fractional coordinates of all 12 atoms:
La 0.0000 0.0000 0.0000
La 0.3333 0.6667 0.6667
La 0.6667 0.3333 0.3333
Mn 0.0000 0.0000 0.2012
Mn 0.0000 0.0000 0.7988
Mn 0.3333 0.6667 0.4655
Mn 0.3333 0.6667 0.8678
Mn 0.6667 0.3333 0.1322
Mn 0.6667 0.3333 0.5345
Cr 0.0000 0.0000 0.5000
Cr 0.3333 0.6667 0.1667
Cr 0.6667 0.3333 0.8333



Entry 3:
A geometry-optimized LaMnCr structure, computed with GGA-PBE.

* calculated formation energy: 1209 meV/atom

Unit cell a=6.7401 b=6.7401 c=6.7401 alpha=90.00 beta=90.00 gamma=90.00
Fractional coordinates of all 12 atoms:
La 0.0000 0.0000 0.0000
La 0.0000 0.5000 0.5000
La 0.5000 0.0000 0.5000
La 0.5000 0.5000 0.0000
Mn 0.2500 0.2500 0.7500
Mn 0.2500 0.7500 0.2500
Mn 0.7500 0.2500 0.2500
Mn 0.7500 0.7500 0.7500
Cr 0.2500 0.2500 0.2500
Cr 0.2500 0.7500 0.7500
Cr 0.7500 0.2500 0.7500
Cr 0.7500 0.7500 0.2500



Entry 4:
A geometry-optimized LaMnCr2 structure, computed with GGA-PBE.

* calculated formation energy: 570 meV/atom

Unit cell a=6.6573 b=6.6573 c=6.6573 alpha=90.00 beta=90.00 gamma=90.00
Fractional coordinates of all 16 atoms:
La 0.0000 0.0000 0.0000
La 0.0000 0.5000 0.5000
La 0.5000 0.0000 0.5000
La 0.5000 0.5000 0.0000
Mn 0.2500 0.2500 0.7500
Mn 0.2500 0.7500 0.2500
Mn 0.7500 0.2500 0.2500
Mn 0.7500 0.7500 0.7500
Cr 0.0000 0.0000 0.5000
Cr 0.0000 0.5000 0.0000
Cr 0.2500 0.2500 0.2500
Cr 0.2500 0.7500 0.7500
Cr 0.5000 0.0000 0.0000
Cr 0.5000 0.5000 0.5000
Cr 0.7500 0.2500 0.7500
Cr 0.7500 0.7500 0.2500



Entry 5:
A geometry-optimized LaMnCr structure, computed with GGA-PBE.

* calculated formation energy: 662 meV/atom

Unit cell a=6.5511 b=6.5511 c=6.5511 alpha=90.00 beta=90.00 gamma=90.00
Fractional coordinates of all 12 atoms:
La 0.0000 0.0000 0.0000
La 0.0000 0.5000 0.5000
La 0.5000 0.0000 0.5000
La 0.5000 0.5000 0.0000
Mn 0.2500 0.2500 0.2500
Mn 0.2500 0.7500 0.7500
Mn 0.7500 0.2500 0.7500
Mn 0.7500 0.7500 0.2500
Cr 0.0000 0.0000 0.5000
Cr 0.0000 0.5000 0.0000
Cr 0.5000 0.0000 0.0000
Cr 0.5000 0.5000 0.5000



Entry 6:
A geometry-optimized LaMnCr2 structure, computed with GGA-PBE.

* calculated formation energy: 764 meV/atom

Unit cell a=6.1940 b=6.1940 c=6.1940 alpha=90.00 beta=90.00 gamma=90.00
Fractional coordinates of all 16 atoms:
La 0.0000 0.0000 0.0000
La 0.0000 0.5000 0.5000
La 0.5000 0.0000 0.5000
La 0.5000 0.5000 0.0000
Mn 0.0000 0.0000 0.5000
Mn 0.0000 0.5000 0.0000
Mn 0.5000 0.0000 0.0000
Mn 0.5000 0.5000 0.5000
Cr 0.2500 0.2500 0.2500
Cr 0.2500 0.2500 0.7500
Cr 0.2500 0.7500 0.2500
Cr 0.2500 0.7500 0.7500
Cr 0.7500 0.2500 0.2500
Cr 0.7500 0.2500 0.7500
Cr 0.7500 0.7500 0.2500
Cr 0.7500 0.7500 0.7500



| no. | total magnetization (μB/f.u.) | DOS at the Fermi energy (states/eV/cell) | V (Å³/cell) |
| --- | --- | --- | --- |
| 1 | 0.17 | 14.1 | 311.36 |
| 2 | 2.94 | 11.6 | 234.17 |
| 3 | 0.66 | 17.0 | 306.20 |
| 4 | 2.51 | 17.8 | 295.04 |
| 5 | 0.92 | 14.9 | 281.15 |
| 6 | 0.00 | 11.6 | 237.63 |